(1)
A relaxed structure of EuDyLuTl. Source: Alexandria, functional GGA-PBE.

The structure in POSCAR format:
```
EuDyLuTl
1.0
5.534 0.000 0.000
2.767 4.793 0.000
2.767 1.598 4.519
Eu Tl Lu Dy
1 1 1 1
Cartesian
5.534 3.195 2.259 Eu
8.301 4.793 3.389 Tl
2.767 1.598 1.130 Lu
0.000 0.000 0.000 Dy
```

Summary:
M_tot: 7.7 μB/cell

=====

(2)
A relaxed structure of EuDyTmLu. Source: Alexandria, functional GGA-PBE.

The structure in POSCAR format:
```
EuDyTmLu
1.0
5.671 0.000 0.000
2.836 4.911 0.000
2.836 1.637 4.630
Eu Lu Tm Dy
1 1 1 1
Cartesian
0.000 0.000 0.000 Eu
2.836 1.637 1.158 Lu
8.507 4.911 3.473 Tm
5.671 3.274 2.315 Dy
```

Summary:
M_tot: 7.2 μB/cell

=====

(3)
A relaxed structure of EuDyMg. Source: Alexandria, functional GGA-PBE.

The structure in POSCAR format:
```
EuDyMg
1.0
3.801 0.000 0.000
0.000 3.801 0.000
-1.900 -1.900 6.582
Eu Mg Dy
1 1 1
Cartesian
0.000 0.000 0.148 Eu
1.900 1.900 2.299 Mg
0.000 0.000 4.135 Dy
```

Summary:
ΔE to the lowest computed polymorph: 0 meV per atom
M_tot: 7.4 μB/cell

=====

(4)
A relaxed structure of EuDyMg4. Source: Alexandria, functional GGA-PBE.

The structure in POSCAR format:
```
EuDyMg4
1.0
-5.028 3.344 1.121
-4.383 0.483 -4.275
-5.415 -2.778 0.826
Eu Mg Dy
1 4 1
Cartesian
-3.706 0.262 -0.582 Eu
-6.554 2.053 -1.871 Mg
-7.073 0.414 0.693 Mg
-9.276 0.657 -1.456 Mg
-6.749 -1.024 -2.020 Mg
0.000 0.000 0.000 Dy
```

Summary:
M_tot: 7.2 μB/cell

=====

(5)
A relaxed structure of EuDyMg. Source: Alexandria, functional GGA-PBE.

The structure in POSCAR format:
```
EuDyMg
1.0
3.414 0.000 0.000
0.000 5.606 0.000
0.000 -2.803 4.855
Eu Mg Dy
1 1 1
Cartesian
2.386 0.000 3.237 Eu
3.387 0.000 0.000 Mg
1.055 2.803 1.618 Dy
```

Summary:
ΔE to the lowest computed polymorph: 71 meV per atom
M_tot: 7.2 μB/cell

=====

(6)
A relaxed structure of PmEuDyMg. Source: Alexandria, functional GGA-PBE.

The structure in POSCAR format:
```
PmEuDyMg
1.0
5.661 0.000 0.000
2.831 4.903 0.000
2.831 1.634 4.622
Eu Mg Pm Dy
1 1 1 1
Cartesian
8.492 4.903 3.467 Eu
0.000 0.000 0.000 Mg
5.661 3.268 2.311 Pm
2.831 1.634 1.156 Dy
```

Summary:
M_tot: 7.1 μB/cell

=====

Number 1: energy relative to the elements -34 meV per atom, calculated volume 119.8 Å³ per cell. Number 2: energy relative to the elements 161 meV per atom, calculated volume 129.0 Å³ per cell. Number 3: energy relative to the elements 6 meV per atom, calculated volume 95.1 Å³ per cell. Number 4: energy relative to the elements -75 meV per atom, calculated volume 163.8 Å³ per cell. Number 5: energy relative to the elements 77 meV per atom, calculated volume 92.9 Å³ per cell. Number 6: energy relative to the elements 98 meV per atom, calculated volume 128.3 Å³ per cell.